Na3Pb2S3ClO12: optimized geometry, PBEsol.

Lattice parameters (Å, degrees): 9.7672 7.0286 9.8516 90.00 119.54 90.00
Space group P2_1/m (No. 11)
Asymmetric unit:
Na (0.1591, 0.0073, 0.3204)
Na (0.2362, 0.2500, 0.9835)
Pb (0.2483, 0.7500, 0.7483)
Pb (0.4934, 0.7500, 0.2412)
S (0.0826, 0.2500, 0.6134)
S (0.1259, 0.7500, 0.0342)
S (0.4656, 0.7500, 0.5819)
Cl (0.5000, 0.0000, 0.0000)
O (0.0254, 0.7500, 0.8617)
O (0.0307, 0.7500, 0.1131)
O (0.0940, 0.7500, 0.4643)
O (0.1339, 0.2500, 0.4955)
O (0.1410, 0.0801, 0.7165)
O (0.2319, 0.5789, 0.0858)
O (0.3648, 0.2500, 0.3628)
O (0.3720, 0.7500, 0.4074)
O (0.4162, 0.5802, 0.6389)

Output
V   294.2 Å³/f.u.
Formation energy without anion corrections   -1643 meV/atom
Crystal system   monoclinic